This record from Alexandria describes a geometry-optimized FeRu2Rh structure. The functional is GGA-PBE.

Crystal system: orthorhombic
E_form: 0.25 eV per atom
Magnetization: 6.68 μB/cell
Volume: 13.8 A^3/atom

a b c (Å): 2.8469 4.3705 8.8531
angles (deg): 90.00 90.00 90.00
Space group Imm2 (No. 44)
One atom of each set of equivalent atoms:
Fe1 0.0000 0.0000 0.0000 x2
Ru1 0.0000 0.0000 0.5074 x2
Ru2 0.0000 0.5000 0.2740 x2
Rh1 0.0000 0.5000 0.7298 x2


This record from Alexandria describes a geometry-optimized FeRuRh6 structure. The functional is GGA-PBE.

Crystal system: tetragonal
E_form: -0.01 eV per atom
Magnetization: 3.34 μB/cell
Volume: 13.9 A^3/atom

a b c (Å): 3.8218 3.8218 7.6398
angles (deg): 90.00 90.00 90.00
Space group P4/mmm (No. 123)
One atom of each set of equivalent atoms:
Fe1 0.0000 0.0000 0.0000 x1
Ru1 0.0000 0.0000 0.5000 x1
Rh1 0.0000 0.5000 0.2500 x4
Rh2 0.5000 0.5000 0.0000 x1
Rh3 0.5000 0.5000 0.5000 x1


This record from Alexandria describes a geometry-optimized FeRu2Rh structure. The functional is GGA-PBE.

Crystal system: orthorhombic
E_form: 0.13 eV per atom
Magnetization: 4.11 μB/cell
Volume: 13.5 A^3/atom

a b c (Å): 5.3354 7.5593 2.6822
angles (deg): 90.00 90.00 90.00
Space group Cmmm (No. 65)
One atom of each set of equivalent atoms:
Fe1 0.0000 0.0000 0.0000 x2
Ru1 0.2500 0.2500 0.5000 x4
Rh1 0.0000 0.5000 0.0000 x2


This record from Alexandria describes a geometry-optimized Fe2RuRh2 structure. The functional is GGA-PBE.

Crystal system: tetragonal
E_form: 0.28 eV per atom
Magnetization: 9.71 μB/cell
Volume: 13.9 A^3/atom

a b c (Å): 7.1155 7.1155 2.7399
angles (deg): 90.00 90.00 90.00
Space group P4/mbm (No. 127)
One atom of each set of equivalent atoms:
Fe1 0.1669 0.3331 0.0000 x4
Ru1 0.0000 0.0000 0.5000 x2
Rh1 0.1326 0.6326 0.5000 x4


This record from Alexandria describes a geometry-optimized FeRu2Rh structure. The functional is GGA-PBE.

Crystal system: orthorhombic
E_form: 0.06 eV per atom
Magnetization: 2.61 μB/cell
Volume: 13.6 A^3/atom

a b c (Å): 2.7031 3.7429 5.3657
angles (deg): 90.00 90.00 90.00
Space group Pmm2 (No. 25)
One atom of each set of equivalent atoms:
Fe1 0.0000 0.0000 0.0000 x1
Ru1 0.0000 0.0000 0.5129 x1
Ru2 0.5000 0.5000 0.7492 x1
Rh1 0.5000 0.5000 0.2412 x1


This record from Alexandria describes a geometry-optimized Fe3RuRh4 structure. The functional is GGA-PBE.

Crystal system: orthorhombic
E_form: 0.01 eV per atom
Magnetization: 16.64 μB/cell
Volume: 13.4 A^3/atom

a b c (Å): 8.6634 5.3871 4.5921
angles (deg): 90.00 90.00 90.00
Space group Pmma (No. 51)
One atom of each set of equivalent atoms:
Fe1 0.0000 0.0000 0.0000 x2
Fe2 0.2500 0.0000 0.3392 x2
Fe3 0.2500 0.5000 0.3354 x2
Ru1 0.0000 0.5000 0.0000 x2
Rh1 0.0000 0.2500 0.5000 x4
Rh2 0.2500 0.2464 0.8471 x4


This record from Alexandria describes a geometry-optimized Fe2RuRh3 structure. The functional is GGA-PBE.

Crystal system: orthorhombic
E_form: 0.04 eV per atom
Magnetization: 10.64 μB/cell
Volume: 13.5 A^3/atom

a b c (Å): 2.7059 13.0086 4.6122
angles (deg): 90.00 90.00 90.00
Space group Pmmn (No. 59, origin choice 2)
One atom of each set of equivalent atoms:
Fe1 0.2500 0.0852 0.0849 x4
Ru1 0.2500 0.7500 0.7486 x2
Rh1 0.2500 0.2500 0.7578 x2
Rh2 0.2500 0.5823 0.4154 x4


This record from Alexandria describes a geometry-optimized FeRu2Rh structure. The functional is GGA-PBE.

Crystal system: tetragonal
E_form: 0.11 eV per atom
Magnetization: 4.57 μB/cell
Volume: 13.5 A^3/atom

a b c (Å): 3.7608 3.7608 7.6440
angles (deg): 90.00 90.00 90.00
Space group I4/mmm (No. 139)
One atom of each set of equivalent atoms:
Fe1 0.0000 0.0000 0.0000 x2
Ru1 0.0000 0.5000 0.2500 x4
Rh1 0.0000 0.0000 0.5000 x2


This record from Alexandria describes a geometry-optimized FeRu2Rh structure. The functional is GGA-PBE.

Crystal system: trigonal
E_form: 0.11 eV per atom
Magnetization: 8.45 μB/cell
Volume: 13.7 A^3/atom

a b c (Å): 2.7017 2.7017 25.9610
angles (deg): 90.00 90.00 120.00
Space group R3m (No. 160, hexagonal axes)
One atom of each set of equivalent atoms:
Fe1 0.0000 0.0000 0.0000 x3
Ru1 0.0000 0.0000 0.4988 x3
Ru2 0.0000 0.0000 0.7498 x3
Rh1 0.0000 0.0000 0.2521 x3


This record from Alexandria describes a geometry-optimized FeRu2Rh structure. The functional is GGA-PBE.

Crystal system: tetragonal
E_form: 0.07 eV per atom
Magnetization: 2.54 μB/cell
Volume: 13.5 A^3/atom

a b c (Å): 2.6915 2.6915 7.4698
angles (deg): 90.00 90.00 90.00
Space group P4mm (No. 99)
One atom of each set of equivalent atoms:
Fe1 0.0000 0.0000 0.0000 x1
Ru1 0.0000 0.0000 0.5043 x1
Ru2 0.5000 0.5000 0.7545 x1
Rh1 0.5000 0.5000 0.2434 x1


This record from Alexandria describes a geometry-optimized FeRu4Rh6 structure. The functional is GGA-PBE.

Crystal system: tetragonal
E_form: 0.78 eV per atom
Magnetization: 7.04 μB/cell
Volume: 17.0 A^3/atom

a b c (Å): 6.6001 6.6001 8.6042
angles (deg): 90.00 90.00 90.00
Space group I-42m (No. 121)
One atom of each set of equivalent atoms:
Fe1 0.0000 0.0000 0.0000 x2
Ru1 0.1760 0.1760 0.4368 x8
Rh1 0.0000 0.5000 0.0000 x4
Rh2 0.1431 0.1431 0.7374 x8


This record from Alexandria describes a geometry-optimized FeRu2Rh9 structure. The functional is GGA-PBE.

Crystal system: tetragonal
E_form: 0.01 eV per atom
Magnetization: 2.98 μB/cell
Volume: 14.0 A^3/atom

a b c (Å): 3.8258 3.8258 11.4763
angles (deg): 90.00 90.00 90.00
Space group P4/mmm (No. 123)
One atom of each set of equivalent atoms:
Fe1 0.0000 0.0000 0.0000 x1
Ru1 0.0000 0.0000 0.3304 x2
Rh1 0.0000 0.5000 0.1660 x4
Rh2 0.0000 0.5000 0.5000 x2
Rh3 0.5000 0.5000 0.0000 x1
Rh4 0.5000 0.5000 0.3343 x2


This record from Alexandria describes a geometry-optimized Fe2Ru2Rh structure. The functional is GGA-PBE.

Crystal system: tetragonal
E_form: 0.21 eV per atom
Magnetization: 0.00 μB/cell
Volume: 12.9 A^3/atom

a b c (Å): 6.9463 6.9463 2.6681
angles (deg): 90.00 90.00 90.00
Space group P4/mbm (No. 127)
One atom of each set of equivalent atoms:
Fe1 0.1204 0.3796 0.0000 x4
Ru1 0.1737 0.6737 0.5000 x4
Rh1 0.0000 0.0000 0.0000 x2